No. 1
A geometry-optimized BeAgRu2 structure. Source: Alexandria, functional PBE-GGA.

Output
Its calculated total energy is -6.077 eV per atom. Its magnetic moment is 0.000 Bohr magnetons per cell. As for the formation energy: 20 kJ per mole of atoms.

```
data_BeAgRu2
_cell_length_a 2.7827
_cell_length_b 2.7827
_cell_length_c 6.9296
_cell_angle_alpha 90.00
_cell_angle_beta 90.00
_cell_angle_gamma 90.00
_symmetry_space_group_name_H-M 'P 4/m m m'
_symmetry_Int_Tables_number 123
_symmetry_space_group_name_Hall '-P 4 2'
loop_
_atom_site_label
_atom_site_type_symbol
_atom_site_fract_x
_atom_site_fract_y
_atom_site_fract_z
Be1 Be 0.0000 0.0000 0.0000
Ag1 Ag 0.0000 0.0000 0.5000
Ru1 Ru 0.5000 0.5000 0.1891
```

No. 2
A geometry-optimized BeAgRu2 structure. Source: Alexandria, functional PBE-GGA.

Output
Its calculated total energy is -5.915 eV per atom. Its magnetic moment is 1.081 Bohr magnetons per cell. As for the formation energy: 35 kJ per mole of atoms.

```
data_BeAgRu2
_cell_length_a 2.8018
_cell_length_b 4.5975
_cell_length_c 8.6499
_cell_angle_alpha 90.00
_cell_angle_beta 90.00
_cell_angle_gamma 90.00
_symmetry_space_group_name_H-M 'C m m 2'
_symmetry_Int_Tables_number 35
loop_
_symmetry_equiv_pos_as_xyz
'x,y,z'
'-x,-y,z'
'-x,y,z'
'x,-y,z'
'x+1/2,y+1/2,z'
'-x+1/2,-y+1/2,z'
'-x+1/2,y+1/2,z'
'x+1/2,-y+1/2,z'
loop_
_atom_site_label
_atom_site_type_symbol
_atom_site_fract_x
_atom_site_fract_y
_atom_site_fract_z
Be1 Be 0.0000 0.0000 0.0000
Ag1 Ag 0.0000 0.5000 0.7633
Ru1 Ru 0.0000 0.0000 0.4698
Ru2 Ru 0.0000 0.5000 0.2135
```

No. 3
A geometry-optimized Be2AgRu4 structure. Source: Alexandria, functional PBE-GGA.

Output
Its calculated total energy is -4.925 eV per atom. Its magnetic moment is 14.480 Bohr magnetons per cell. As for the formation energy: 178 kJ per mole of atoms.

```
data_Be2AgRu4
_cell_length_a 4.7318
_cell_length_b 4.7318
_cell_length_c 11.3964
_cell_angle_alpha 90.00
_cell_angle_beta 90.00
_cell_angle_gamma 90.00
_symmetry_space_group_name_H-M 'I 4/m m m'
_symmetry_Int_Tables_number 139
_symmetry_space_group_name_Hall '-I 4 2'
loop_
_atom_site_label
_atom_site_type_symbol
_atom_site_fract_x
_atom_site_fract_y
_atom_site_fract_z
Be1 Be 0.0000 0.0000 0.0849
Ag1 Ag 0.0000 0.0000 0.5000
Ru1 Ru 0.0000 0.0000 0.2701
Ru2 Ru 0.0000 0.5000 0.0000
```

No. 4
A geometry-optimized Be3AgRu structure. Source: Alexandria, functional PBE-GGA.

Output
Its calculated total energy is -3.560 eV per atom. Its magnetic moment is 0.000 Bohr magnetons per cell. As for the formation energy: 106 kJ per mole of atoms.

```
data_Be3AgRu
_cell_length_a 4.1184
_cell_length_b 4.1184
_cell_length_c 4.1184
_cell_angle_alpha 90.00
_cell_angle_beta 90.00
_cell_angle_gamma 90.00
_symmetry_space_group_name_H-M 'P m -3 m'
_symmetry_Int_Tables_number 221
_symmetry_space_group_name_Hall '-P 4 2 3'
loop_
_atom_site_label
_atom_site_type_symbol
_atom_site_fract_x
_atom_site_fract_y
_atom_site_fract_z
Be1 Be 0.0000 0.0000 0.5000
Ag1 Ag 0.0000 0.0000 0.0000
Ru1 Ru 0.5000 0.5000 0.5000
```

No. 5
A geometry-optimized Be2AgTeRu structure. Source: Alexandria, functional PBE-GGA.

Output
Its calculated total energy is -3.676 eV per atom. Its magnetic moment is 0.000 Bohr magnetons per cell.

```
data_Be2AgTeRu
_cell_length_a 4.2185
_cell_length_b 4.2185
_cell_length_c 5.2019
_cell_angle_alpha 90.00
_cell_angle_beta 90.00
_cell_angle_gamma 90.00
_symmetry_space_group_name_H-M 'P 4/m m m'
_symmetry_Int_Tables_number 123
_symmetry_space_group_name_Hall '-P 4 2'
loop_
_atom_site_label
_atom_site_type_symbol
_atom_site_fract_x
_atom_site_fract_y
_atom_site_fract_z
Be1 Be 0.0000 0.5000 0.0000
Ag1 Ag 0.0000 0.0000 0.5000
Te1 Te 0.5000 0.5000 0.5000
Ru1 Ru 0.0000 0.0000 0.0000
```

No. 6
A geometry-optimized BeAg2RuW structure. Source: Alexandria, functional PBE-GGA.

Output
Its calculated total energy is -5.333 eV per atom. Its magnetic moment is 0.000 Bohr magnetons per cell. As for the formation energy: 96 kJ per mole of atoms.

```
data_BeAg2RuW
_cell_length_a 4.2151
_cell_length_b 4.2151
_cell_length_c 4.2956
_cell_angle_alpha 90.00
_cell_angle_beta 90.00
_cell_angle_gamma 90.00
_symmetry_space_group_name_H-M 'P 4/m m m'
_symmetry_Int_Tables_number 123
_symmetry_space_group_name_Hall '-P 4 2'
loop_
_atom_site_label
_atom_site_type_symbol
_atom_site_fract_x
_atom_site_fract_y
_atom_site_fract_z
Be1 Be 0.0000 0.0000 0.0000
Ag1 Ag 0.0000 0.5000 0.0000
Ru1 Ru 0.0000 0.0000 0.5000
W1 W 0.5000 0.5000 0.5000
```

Repeat the sixth record exactly.
A geometry-optimized BeAg2RuW structure. Source: Alexandria, functional PBE-GGA.

Output
Its calculated total energy is -5.333 eV per atom. Its magnetic moment is 0.000 Bohr magnetons per cell. As for the formation energy: 96 kJ per mole of atoms.

```
data_BeAg2RuW
_cell_length_a 4.2151
_cell_length_b 4.2151
_cell_length_c 4.2956
_cell_angle_alpha 90.00
_cell_angle_beta 90.00
_cell_angle_gamma 90.00
_symmetry_space_group_name_H-M 'P 4/m m m'
_symmetry_Int_Tables_number 123
_symmetry_space_group_name_Hall '-P 4 2'
loop_
_atom_site_label
_atom_site_type_symbol
_atom_site_fract_x
_atom_site_fract_y
_atom_site_fract_z
Be1 Be 0.0000 0.0000 0.0000
Ag1 Ag 0.0000 0.5000 0.0000
Ru1 Ru 0.0000 0.0000 0.5000
W1 W 0.5000 0.5000 0.5000
```